Entry from the Alexandria database: crystalline Te4MoP at its relaxed geometry (PBE-GGA).

Its density of states at the Fermi level is 1.4046 states/eV per atom. The value obtained for the total energy is -3.510 eV per atom. The value obtained for the total moment is 11.17 μB per cell. For the energy relative to the elements, uncorrected, the calculation gives 1.2914 eV per atom.

The space group is F-43m (No. 216) and the conventional cell measures 8.772, 8.772 and 8.772 Å, with angles of 90.00, 90.00 and 90.00 degrees. The asymmetric unit holds Te at (0.125, 0.125, 0.125), Mo at (0.250, 0.250, 0.750) and P at (0.000, 0.000, 0.500).

=====

Entry from the Alexandria database: crystalline TeMo3P at its relaxed geometry (PBE-GGA).

The calculation puts the energy above the most stable polymorph in this dataset at 0.0 meV per atom. Its density of states at the Fermi level is 1.1849 states/eV per atom. The value obtained for the total energy is -7.584 eV per atom. The value obtained for the total moment is 1.83 μB per cell. For the energy relative to the elements, uncorrected, the calculation gives 0.6246 eV per atom.

The space group is Pm-3m (No. 221) and the conventional cell measures 4.539, 4.539 and 4.539 Å, with angles of 90.00, 90.00 and 90.00 degrees. The asymmetric unit holds Te at (0.000, 0.000, 0.000), Mo at (0.000, 0.500, 0.500) and P at (0.500, 0.500, 0.500).

=====

Entry from the Alexandria database: crystalline TeMo2P at its relaxed geometry (PBE-GGA).

The calculation puts the energy above the most stable polymorph in this dataset at 744.7 meV per atom. Its density of states at the Fermi level is 0.7077 states/eV per atom. The value obtained for the total energy is -6.934 eV per atom. The value obtained for the total moment is 0.00 μB per cell. For the energy relative to the elements, uncorrected, the calculation gives 0.6197 eV per atom.

The space group is C2/m (No. 12) and the conventional cell measures 6.076, 8.279 and 3.117 Å, with angles of 90.00, 117.20 and 90.00 degrees. The asymmetric unit holds Te at (0.000, 0.000, 0.000), Mo at (0.250, 0.250, 0.500) and P at (0.000, 0.500, 0.000).

=====

Entry from the Alexandria database: crystalline Te3MoP at its relaxed geometry (PBE-GGA).

The calculation puts the energy above the most stable polymorph in this dataset at 188.2 meV per atom. Its density of states at the Fermi level is 0.8518 states/eV per atom. The value obtained for the total energy is -4.108 eV per atom. The value obtained for the total moment is 3.33 μB per cell. For the energy relative to the elements, uncorrected, the calculation gives 1.0249 eV per atom.

The space group is Pm-3m (No. 221) and the conventional cell measures 5.189, 5.189 and 5.189 Å, with angles of 90.00, 90.00 and 90.00 degrees. The asymmetric unit holds Te at (0.000, 0.000, 0.500), Mo at (0.500, 0.500, 0.500) and P at (0.000, 0.000, 0.000).

=====

Entry from the Alexandria database: crystalline TeMo2P at its relaxed geometry (PBE-GGA).

The calculation puts the energy above the most stable polymorph in this dataset at 65.5 meV per atom. Its density of states at the Fermi level is 0.7283 states/eV per atom. The value obtained for the total energy is -7.613 eV per atom. The value obtained for the total moment is 0.00 μB per cell. For the energy relative to the elements, uncorrected, the calculation gives -0.0595 eV per atom.

The space group is P4mm (No. 99) and the conventional cell measures 3.342, 3.342 and 6.282 Å, with angles of 90.00, 90.00 and 90.00 degrees. The asymmetric unit holds Te at (0.000, 0.000, 0.000), Mo at (0.000, 0.000, 0.536), Mo at (0.500, 0.500, 0.228) and P at (0.500, 0.500, 0.628).

=====

Entry from the Alexandria database: crystalline TeMoP2 at its relaxed geometry (PBE-GGA).

Its density of states at the Fermi level is 0.4035 states/eV per atom. The value obtained for the total energy is -6.173 eV per atom. The value obtained for the total moment is 0.00 μB per cell. For the energy relative to the elements, uncorrected, the calculation gives 0.0249 eV per atom.

The space group is P4mm (No. 99) and the conventional cell measures 3.177, 3.177 and 7.519 Å, with angles of 90.00, 90.00 and 90.00 degrees. The asymmetric unit holds Te at (0.000, 0.000, 0.000), Mo at (0.500, 0.500, 0.235), P at (0.000, 0.000, 0.418) and P at (0.500, 0.500, 0.570).

=====

Repeat the fifth record exactly.
Entry from the Alexandria database: crystalline TeMo2P at its relaxed geometry (PBE-GGA).

The calculation puts the energy above the most stable polymorph in this dataset at 65.5 meV per atom. Its density of states at the Fermi level is 0.7283 states/eV per atom. The value obtained for the total energy is -7.613 eV per atom. The value obtained for the total moment is 0.00 μB per cell. For the energy relative to the elements, uncorrected, the calculation gives -0.0595 eV per atom.

The space group is P4mm (No. 99) and the conventional cell measures 3.342, 3.342 and 6.282 Å, with angles of 90.00, 90.00 and 90.00 degrees. The asymmetric unit holds Te at (0.000, 0.000, 0.000), Mo at (0.000, 0.000, 0.536), Mo at (0.500, 0.500, 0.228) and P at (0.500, 0.500, 0.628).